1.
Entry from Alexandria via LeMat-Bulk: an optimized crystal structure of CoRu5 (GGA-PBEsol).

## Properties
The symmetry is Amm2 (38). The value obtained for the electronic total energy is -9.715 eV per atom.

abc: 2.662 4.191 6.994
angles: 90.00 100.97 90.00
Fractional coordinates of all 6 atoms:
Co  0.001  0.000  0.001
Ru  0.223  0.500  0.445
Ru  0.335  0.000  0.669
Ru  0.553  0.500  0.106
Ru  0.664  0.000  0.329
Ru  0.892  0.500  0.783

***

2.
Entry from Alexandria via LeMat-Bulk: an optimized crystal structure of CoRu3 (GGA-PBEsol).

## Properties
The symmetry is P-6m2 (187). The value obtained for the electronic total energy is -9.484 eV per atom.

abc: 2.655 2.655 8.247
angles: 90.00 90.00 120.00
Fractional coordinates of all 4 atoms:
Ru  0.000  0.000  0.500
Ru  0.667  0.333  0.757
Ru  0.667  0.333  0.243
Co  0.000  0.000  0.000

***

3.
Entry from Alexandria via LeMat-Bulk: an optimized crystal structure of CoRu3 (GGA-PBEsol).

## Properties
The symmetry is Pmmn (59). The value obtained for the electronic total energy is -9.512 eV per atom.

abc: 4.152 4.570 5.253
angles: 90.00 90.00 90.00
Fractional coordinates of all 8 atoms:
Co  0.000  0.663  0.000
Co  0.500  0.337  0.500
Ru  0.500  0.342  0.000
Ru  0.000  0.171  0.748
Ru  0.500  0.829  0.752
Ru  0.000  0.658  0.500
Ru  0.000  0.171  0.252
Ru  0.500  0.829  0.248

***

4.
Entry from Alexandria via LeMat-Bulk: an optimized crystal structure of CoRu3 (GGA-PBEsol).

## Properties
The symmetry is Imm2 (44). The value obtained for the electronic total energy is -9.471 eV per atom.

abc: 2.654 4.545 4.915
angles: 117.54 105.67 90.00
Fractional coordinates of all 4 atoms:
Ru  0.253  0.919  0.507
Ru  0.500  0.506  0.000
Ru  0.747  0.412  0.493
Co  0.000  0.997  0.000

***

5.
Entry from Alexandria via LeMat-Bulk: an optimized crystal structure of CoRu3 (GGA-PBEsol).

## Properties
The symmetry is R-3m (166). The value obtained for the electronic total energy is -9.390 eV per atom.

abc: 2.631 2.631 8.587
angles: 81.19 81.19 60.00
Fractional coordinates of all 4 atoms:
Co  0.000  0.000  0.000
Ru  0.252  0.252  0.244
Ru  0.500  0.500  0.500
Ru  0.748  0.748  0.756

***

6.
Entry from Alexandria via LeMat-Bulk: an optimized crystal structure of CoRuS2 (GGA-PBEsol).

## Properties
The symmetry is R-3m (166). The value obtained for the electronic total energy is -6.800 eV per atom.

abc: 3.009 3.009 7.287
angles: 78.09 78.09 60.00
Fractional coordinates of all 4 atoms:
Ru  0.000  0.000  0.000
S  0.896  0.896  0.312
S  0.104  0.104  0.688
Co  0.500  0.500  0.500

***

7.
Entry from Alexandria via LeMat-Bulk: an optimized crystal structure of ScCoRuS2 (GGA-PBEsol).

## Properties
The symmetry is P4/mmm (123). The value obtained for the electronic total energy is -6.547 eV per atom.

abc: 4.263 4.529 4.529
angles: 90.00 90.00 90.00
Fractional coordinates of all 5 atoms:
Sc  0.500  0.500  0.500
Ru  0.000  0.000  0.000
S  0.000  0.000  0.500
S  0.000  0.500  0.000
Co  0.500  0.000  0.000

***

8.
Entry from Alexandria via LeMat-Bulk: an optimized crystal structure of Co2SbRu (GGA-PBEsol).

## Properties
The symmetry is Cmmm (65). The value obtained for the electronic total energy is -7.300 eV per atom.

abc: 2.841 4.412 4.412
angles: 107.17 90.00 90.00
Fractional coordinates of all 4 atoms:
Sb  0.500  0.500  0.500
Co  0.000  0.500  0.000
Co  0.000  0.000  0.500
Ru  0.500  0.000  0.000

***

9.
Entry from Alexandria via LeMat-Bulk: an optimized crystal structure of Co2SbRu (GGA-PBEsol).

## Properties
The symmetry is R3m (160). The value obtained for the electronic total energy is -7.036 eV per atom.

abc: 2.920 2.920 7.933
angles: 79.39 79.39 60.00
Fractional coordinates of all 4 atoms:
Sb  0.252  0.252  0.243
Co  0.006  0.006  0.982
Co  0.746  0.746  0.761
Ru  0.495  0.495  0.514

***

10.
Entry from Alexandria via LeMat-Bulk: an optimized crystal structure of CoSbRu4 (GGA-PBEsol).

## Properties
The symmetry is F-43m (216). The value obtained for the electronic total energy is -8.096 eV per atom.

abc: 5.047 5.047 5.047
angles: 60.00 60.00 60.00
Fractional coordinates of all 6 atoms:
Co  0.000  0.000  0.000
Ru  0.375  0.375  0.375
Ru  0.375  0.375  0.876
Ru  0.876  0.375  0.375
Ru  0.375  0.876  0.375
Sb  0.750  0.750  0.750

***

11.
Entry from Alexandria via LeMat-Bulk: an optimized crystal structure of Co4SbRu (GGA-PBEsol).

## Properties
The symmetry is F-43m (216). The value obtained for the electronic total energy is -7.376 eV per atom.

abc: 4.717 4.717 4.717
angles: 60.00 60.00 60.00
Fractional coordinates of all 6 atoms:
Co  0.625  0.625  0.126
Co  0.126  0.625  0.625
Co  0.625  0.126  0.625
Co  0.625  0.625  0.625
Ru  0.250  0.250  0.250
Sb  0.000  0.000  0.000

***

12.
Entry from Alexandria via LeMat-Bulk: an optimized crystal structure of Co2SbRu (GGA-PBEsol).

## Properties
The symmetry is P4mm (99). The value obtained for the electronic total energy is -7.290 eV per atom.

abc: 3.128 3.128 5.521
angles: 90.00 90.00 90.00
Fractional coordinates of all 4 atoms:
Sb  0.500  0.500  0.761
Co  0.000  0.000  0.025
Co  0.500  0.500  0.226
Ru  0.000  0.000  0.488

***

13.
Entry from Alexandria via LeMat-Bulk: an optimized crystal structure of Co2SbRu (GGA-PBEsol).

## Properties
The symmetry is C2/m (12). The value obtained for the electronic total energy is -7.126 eV per atom.

abc: 2.866 4.485 5.073
angles: 115.30 105.04 92.98
Fractional coordinates of all 4 atoms:
Sb  0.000  0.500  0.000
Co  0.000  0.000  0.500
Co  0.500  0.500  0.500
Ru  0.500  0.000  0.000

***

14.
Entry from Alexandria via LeMat-Bulk: an optimized crystal structure of Co2SbRu (GGA-PBEsol).

## Properties
The symmetry is C2/m (12). The value obtained for the electronic total energy is -7.298 eV per atom.

abc: 2.881 4.497 4.484
angles: 101.84 108.74 90.00
Fractional coordinates of all 4 atoms:
Sb  0.000  0.500  0.000
Co  0.248  0.224  0.496
Co  0.752  0.776  0.504
Ru  0.500  0.000  0.000

***

15.
Entry from Alexandria via LeMat-Bulk: an optimized crystal structure of TiCoSbRu2 (GGA-PBEsol).

## Properties
The symmetry is P4/mmm (123). The value obtained for the electronic total energy is -7.176 eV per atom.

abc: 4.231 4.495 4.495
angles: 90.00 90.00 90.00
Fractional coordinates of all 5 atoms:
Sb  0.500  0.500  0.500
Ti  0.000  0.000  0.000
Co  0.500  0.000  0.000
Ru  0.000  0.000  0.500
Ru  0.000  0.500  0.000

***

16.
Entry from Alexandria via LeMat-Bulk: an optimized crystal structure of Sc2CoRu (GGA-PBEsol).

## Properties
Its energy above the most stable polymorph in this dataset is 0.383 eV per atom. The symmetry is Pmm2 (25). The value obtained for the electronic total energy is -7.836 eV per atom.

abc: 2.941 4.120 5.239
angles: 90.00 90.00 90.00
Fractional coordinates of all 4 atoms:
Co  0.000  0.000  0.469
Ru  0.500  0.500  0.782
Sc  0.000  0.000  0.948
Sc  0.500  0.500  0.302

***

17.
Entry from Alexandria via LeMat-Bulk: an optimized crystal structure of Sc2CoRu (GGA-PBEsol).

## Properties
Its energy above the most stable polymorph in this dataset is 0.004 eV per atom. The symmetry is P4/mmm (123). The value obtained for the electronic total energy is -8.216 eV per atom.

abc: 3.130 3.130 6.205
angles: 90.00 90.00 90.00
Fractional coordinates of all 4 atoms:
Sc  0.000  0.000  0.753
Sc  0.000  0.000  0.247
Ru  0.500  0.500  0.500
Co  0.500  0.500  0.000

***

18.
Entry from Alexandria via LeMat-Bulk: an optimized crystal structure of Sc2CoRu (GGA-PBEsol).

## Properties
Its energy above the most stable polymorph in this dataset is 0.412 eV per atom. The symmetry is P4mm (99). The value obtained for the electronic total energy is -7.808 eV per atom.

abc: 2.998 2.998 7.647
angles: 90.00 90.00 90.00
Fractional coordinates of all 4 atoms:
Co  0.000  0.000  0.465
Ru  0.500  0.500  0.288
Sc  0.000  0.000  0.062
Sc  0.500  0.500  0.684

***

19.
Entry from Alexandria via LeMat-Bulk: an optimized crystal structure of Sc2CoRu (GGA-PBEsol).

## Properties
Its energy above the most stable polymorph in this dataset is 0.000 eV per atom. The symmetry is Fm-3m (225). The value obtained for the electronic total energy is -8.220 eV per atom.

abc: 4.409 4.409 4.409
angles: 60.00 60.00 60.00
Fractional coordinates of all 4 atoms:
Sc  0.250  0.250  0.250
Sc  0.750  0.750  0.750
Ru  0.000  0.000  0.000
Co  0.500  0.500  0.500

***

20.
Entry from Alexandria via LeMat-Bulk: an optimized crystal structure of Co2RuSe (GGA-PBEsol).

## Properties
The symmetry is Cmmm (65). The value obtained for the electronic total energy is -7.070 eV per atom.

abc: 2.744 4.348 4.348
angles: 110.20 90.00 90.00
Fractional coordinates of all 4 atoms:
Ru  0.500  0.000  0.000
Co  0.000  0.500  0.000
Co  0.000  0.000  0.500
Se  0.500  0.500  0.500

***

21.
Entry from Alexandria via LeMat-Bulk: an optimized crystal structure of Ti2CoRuSe (GGA-PBEsol).

## Properties
The symmetry is P4/mmm (123). The value obtained for the electronic total energy is -7.179 eV per atom.

abc: 4.075 4.557 4.557
angles: 90.00 90.00 90.00
Fractional coordinates of all 5 atoms:
Ru  0.500  0.500  0.500
Co  0.500  0.000  0.000
Se  0.000  0.000  0.000
Ti  0.000  0.000  0.500
Ti  0.000  0.500  0.000

***

22.
Entry from Alexandria via LeMat-Bulk: an optimized crystal structure of Co2Si2Ru (GGA-PBEsol).

## Properties
The symmetry is P4/mbm (127). The value obtained for the electronic total energy is -7.932 eV per atom.

abc: 2.582 6.578 6.578
angles: 90.00 90.00 90.00
Fractional coordinates of all 10 atoms:
Ru  0.000  0.000  0.000
Ru  0.000  0.500  0.500
Si  0.000  0.350  0.850
Si  0.000  0.850  0.650
Si  0.000  0.650  0.150
Si  0.000  0.150  0.350
Co  0.500  0.146  0.646
Co  0.500  0.646  0.854
Co  0.500  0.854  0.354
Co  0.500  0.354  0.146

***

23.
Entry from Alexandria via LeMat-Bulk: an optimized crystal structure of Co2SiRu (GGA-PBEsol).

## Properties
The symmetry is P4/mmm (123). The value obtained for the electronic total energy is -8.060 eV per atom.

abc: 3.518 3.518 3.605
angles: 90.00 90.00 90.00
Fractional coordinates of all 4 atoms:
Co  0.000  0.500  0.000
Co  0.500  0.000  0.000
Ru  0.500  0.500  0.500
Si  0.000  0.000  0.500

***

24.
Entry from Alexandria via LeMat-Bulk: an optimized crystal structure of CoSiRu2 (GGA-PBEsol).

## Properties
The symmetry is Immm (71). The value obtained for the electronic total energy is -8.577 eV per atom.

abc: 2.799 4.233 4.924
angles: 115.45 106.51 90.00
Fractional coordinates of all 4 atoms:
Co  0.000  0.500  0.000
Ru  0.778  0.778  0.556
Ru  0.222  0.222  0.444
Si  0.500  0.000  0.000

***

25.
Entry from Alexandria via LeMat-Bulk: an optimized crystal structure of CoSiRu2 (GGA-PBEsol).

## Properties
The symmetry is P4/mmm (123). The value obtained for the electronic total energy is -8.728 eV per atom.

abc: 2.847 4.109 4.109
angles: 90.00 90.00 90.00
Fractional coordinates of all 4 atoms:
Ru  0.000  0.000  0.500
Ru  0.000  0.500  0.000
Si  0.500  0.500  0.500
Co  0.500  0.000  0.000

***

26.
Entry from Alexandria via LeMat-Bulk: an optimized crystal structure of CoSiRu2 (GGA-PBEsol).

## Properties
The symmetry is Imm2 (44). The value obtained for the electronic total energy is -8.726 eV per atom.

abc: 2.819 4.108 4.831
angles: 115.15 106.96 90.00
Fractional coordinates of all 4 atoms:
Ru  0.997  0.997  0.995
Ru  0.771  0.271  0.541
Si  0.509  0.509  0.019
Co  0.223  0.723  0.445

***

27.
Entry from Alexandria via LeMat-Bulk: an optimized crystal structure of CoSiRu2 (GGA-PBEsol).

## Properties
The symmetry is P4/mmm (123). The value obtained for the electronic total energy is -8.675 eV per atom.

abc: 2.858 2.858 5.959
angles: 90.00 90.00 90.00
Fractional coordinates of all 4 atoms:
Co  0.500  0.500  0.500
Ru  0.000  0.000  0.763
Ru  0.000  0.000  0.237
Si  0.500  0.500  0.000

***

28.
Entry from Alexandria via LeMat-Bulk: an optimized crystal structure of CoSn2Ru2 (GGA-PBEsol).

## Properties
The symmetry is I4/mmm (139). The value obtained for the electronic total energy is -6.686 eV per atom.

abc: 3.380 3.380 8.118
angles: 102.02 102.02 90.00
Fractional coordinates of all 5 atoms:
Ru  0.250  0.750  0.500
Ru  0.750  0.250  0.500
Co  0.000  0.000  0.000
Sn  0.401  0.401  0.801
Sn  0.599  0.599  0.199

***

29.
Entry from Alexandria via LeMat-Bulk: an optimized crystal structure of SrCoRu2 (GGA-PBEsol).

## Properties
Its energy above the most stable polymorph in this dataset is 0.255 eV per atom. The symmetry is F-43m (216). The value obtained for the electronic total energy is -6.577 eV per atom.

abc: 4.494 4.494 4.494
angles: 60.00 60.00 60.00
Fractional coordinates of all 4 atoms:
Co  0.500  0.500  0.500
Ru  0.000  0.000  0.000
Ru  0.750  0.750  0.750
Sr  0.250  0.250  0.250

***

30.
Entry from Alexandria via LeMat-Bulk: an optimized crystal structure of SrCoRu2 (GGA-PBEsol).

## Properties
Its energy above the most stable polymorph in this dataset is 0.365 eV per atom. The symmetry is Cmmm (65). The value obtained for the electronic total energy is -6.468 eV per atom.

abc: 2.619 5.173 5.173
angles: 116.00 90.00 90.00
Fractional coordinates of all 4 atoms:
Co  0.500  0.500  0.500
Ru  0.000  0.500  0.000
Ru  0.000  0.000  0.500
Sr  0.500  0.000  0.000